Na2TiCo (GGA-PBE, relaxed); energy above the lowest structure with this stoichiometry = 0 meV per atom; energy relative to the elements = 19.82 kcal/mol of atoms
1.0
10.4811 0.0000 0.0000
0.0000 10.4811 0.0000
5.2405 5.2405 2.0965
Na Ti Co
4 2 2
Direct
0.9849 0.6250 0.2500
0.8750 0.0151 0.7500
0.3750 0.2349 0.7500
0.7651 0.1250 0.2500
0.5000 0.5000 0.0000
0.2500 0.7500 0.5000
0.0000 0.0000 0.0000
0.7500 0.2500 0.5000


NaTiCo2W (GGA-PBE, relaxed); energy relative to the elements = 37.76 kcal/mol of atoms
1.0
-2.0845 -3.1686 -2.2521
2.5831 1.1797 -4.0506
3.1316 -2.8828 1.1575
Na Co W Ti
1 2 1 1
Direct
0.0000 0.5000 0.0000
0.0000 0.0000 0.5000
0.5000 0.0000 0.0000
0.0000 0.0000 0.0000
0.5000 0.5000 0.5000


NaTi2ZnCo (GGA-PBE, relaxed); energy relative to the elements = 12.91 kcal/mol of atoms
1.0
-3.3861 0.8471 2.7404
-2.6232 -3.9425 -2.0227
1.7654 -2.7261 3.0241
Co Ti Zn Na
1 2 1 1
Direct
0.0000 0.0000 0.0000
0.0000 0.0000 0.5000
0.5000 0.0000 0.0000
0.5000 0.5000 0.5000
0.0000 0.5000 0.0000


Na2TlCo (GGA-PBE, relaxed); energy above the lowest structure with this stoichiometry = 0 meV per atom; energy relative to the elements = 12.22 kcal/mol of atoms
1.0
-0.9767 -2.2155 3.1823
3.7969 0.1196 1.2486
-0.7599 8.1252 7.9359
Tl Co Na
2 2 4
Direct
0.7500 0.2500 0.5000
0.0000 0.0000 0.0000
0.5000 0.5000 0.0000
0.2500 0.7500 0.5000
0.6133 0.1250 0.2500
0.3750 0.3867 0.7500
0.1367 0.6250 0.2500
0.8750 0.8633 0.7500


NaTl3Co (GGA-PBE, relaxed); energy above the lowest structure with this stoichiometry = 0 meV per atom; energy relative to the elements = 2.61 kcal/mol of atoms
1.0
5.1076 0.0000 0.0000
0.0000 5.1076 0.0000
0.0000 0.0000 5.1076
Co Na Tl
1 1 3
Direct
0.0000 0.0000 0.0000
0.5000 0.5000 0.5000
0.5000 0.0000 0.0000
0.0000 0.0000 0.5000
0.0000 0.5000 0.0000


Na3TlCo (GGA-PBE, relaxed); energy above the lowest structure with this stoichiometry = 0 meV per atom; energy relative to the elements = 17.01 kcal/mol of atoms
1.0
5.3594 0.0000 0.0000
0.0000 5.3594 0.0000
0.0000 0.0000 5.3594
Co Na Tl
1 3 1
Direct
0.0000 0.0000 0.0000
0.5000 0.0000 0.0000
0.0000 0.0000 0.5000
0.0000 0.5000 0.0000
0.5000 0.5000 0.5000


- What is the energy relative to the elements in the fifth record?
  2.61 kcal/mol of atoms


- What is the energy relative to the elements in the sixth record?
  17.01 kcal/mol of atoms